Entry 1:
Density functional theory data (PBE+U) for a geometry-optimized FeOF structure.

Raw total energy: -137.4 eV per cell
Total moment: 12.38 μB/cell

abc: 9.3371 3.0283 9.3631
angles: 90.00 90.03 90.00
Space group Pm (No. 6)
One atom of each set of equivalent atoms:
Fe 0.0000 0.0000 0.0000 [1 per cell]
Fe 0.0240 0.0000 0.5062 [1 per cell]
Fe 0.2240 0.5000 0.2353 [1 per cell]
Fe 0.2552 0.5000 0.7390 [1 per cell]
Fe 0.4866 0.0000 0.5124 [1 per cell]
Fe 0.5292 0.0000 0.9977 [1 per cell]
Fe 0.7160 0.5000 0.2712 [1 per cell]
Fe 0.7656 0.5000 0.7758 [1 per cell]
O 0.0900 0.5000 0.4033 [1 per cell]
O 0.1421 0.0000 0.1357 [1 per cell]
O 0.1599 0.0000 0.6608 [1 per cell]
O 0.4060 0.5000 0.6121 [1 per cell]
O 0.5826 0.5000 0.4226 [1 per cell]
O 0.6131 0.5000 0.9010 [1 per cell]
O 0.6487 0.0000 0.1632 [1 per cell]
O 0.8588 0.0000 0.8584 [1 per cell]
F 0.1008 0.5000 0.9017 [1 per cell]
F 0.3373 0.0000 0.3330 [1 per cell]
F 0.3496 0.0000 0.8501 [1 per cell]
F 0.4038 0.5000 0.0860 [1 per cell]
F 0.6726 0.0000 0.6719 [1 per cell]
F 0.8388 0.0000 0.3638 [1 per cell]
F 0.9034 0.5000 0.6139 [1 per cell]
F 0.9056 0.5000 0.0989 [1 per cell]



Entry 2:
Density functional theory data (PBE+U) for a geometry-optimized Fe3O5F structure.

Raw total energy: -110.0 eV per cell
Total moment: 26.08 μB/cell
ΔE to the lowest computed polymorph: 12 meV per atom

abc: 4.6385 5.5312 7.5993
angles: 85.18 89.68 89.97
Space group P1 (No. 1)
One atom of each set of equivalent atoms:
Fe 0.0000 0.0000 0.0000 [1 per cell]
Fe 0.0038 0.6540 0.3126 [1 per cell]
Fe 0.0101 0.3148 0.6616 [1 per cell]
Fe 0.5089 0.1607 0.3288 [1 per cell]
Fe 0.5195 0.4785 0.9910 [1 per cell]
Fe 0.5482 0.8310 0.6542 [1 per cell]
O 0.2049 0.9458 0.2162 [1 per cell]
O 0.2063 0.2792 0.8933 [1 per cell]
O 0.3184 0.4504 0.2260 [1 per cell]
O 0.3278 0.1230 0.5552 [1 per cell]
O 0.7037 0.1944 0.1079 [1 per cell]
O 0.7078 0.5251 0.7585 [1 per cell]
O 0.7134 0.8683 0.4202 [1 per cell]
O 0.8157 0.6995 0.0820 [1 per cell]
O 0.8213 0.0239 0.7736 [1 per cell]
O 0.8264 0.3701 0.4312 [1 per cell]
F 0.2135 0.6309 0.5601 [1 per cell]
F 0.3125 0.7825 0.8836 [1 per cell]